No. 1
First-principles (GGA-PBE) data for crystalline LaMn2Cd at its relaxed geometry, as listed in Alexandria.

Unit cell a=4.931 b=4.931 c=6.019 alpha=79.16 beta=79.16 gamma=38.25
Last column: magnetic moment on the atom in μB.
Atoms (fractional coordinates):
1 La 0.250 0.250 0.250  -0.31
2 Mn 0.007 0.007 0.933  3.56
3 Cd 0.750 0.750 0.750  -0.06
4 Mn 0.493 0.493 0.567  3.56

Computed properties:
Energy relative to the elements (kJ/mol of formula units): 148.8
Final energy (eV per cell): -22.640
Crystal system: monoclinic

***

No. 2
First-principles (GGA-PBE) data for crystalline KSrRu2 at its relaxed geometry, as listed in Alexandria.

Unit cell a=4.145 b=4.141 c=5.077 alpha=90.00 beta=90.00 gamma=90.00
Last column: magnetic moment on the atom in μB.
Atoms (fractional coordinates):
1 K 0.000 0.500 0.500  -0.02
2 Sr 0.500 0.000 0.500  -0.04
3 Ru 0.000 0.000 0.000  1.14
4 Ru 0.500 0.500 0.000  1.14

Computed properties:
Energy relative to the elements (kJ/mol of formula units): 446.8
Final energy (eV per cell): -16.700
Crystal system: tetragonal
E above lowest polymorph (meV/atom): 755

***

No. 3
First-principles (GGA-PBE) data for crystalline NpGa2Au5 at its relaxed geometry, as listed in Alexandria.

Unit cell a=3.998 b=6.847 c=6.847 alpha=65.73 beta=73.02 gamma=73.02
Last column: magnetic moment on the atom in μB.
Atoms (fractional coordinates):
1 Au 0.000 0.500 0.500  -0.01
2 Au 0.634 0.157 0.574  -0.01
3 Au 0.634 0.574 0.157  -0.01
4 Ga 0.753 0.747 0.747  -0.01
5 Au 0.366 0.843 0.426  -0.01
6 Ga 0.247 0.253 0.253  -0.01
7 Np 0.000 0.000 0.000  4.01
8 Au 0.366 0.426 0.843  -0.01

Computed properties:
Energy relative to the elements (kJ/mol of formula units): -121.4
Final energy (eV per cell): -36.639
Crystal system: orthorhombic
E above lowest polymorph (meV/atom): 0

***

- Which of these has the lowest energy relative to the elements?
  NpGa2Au5

***

- Number 1 is which compound?
  LaMn2Cd